No. 1
## Sr5Te4Cl (PBE)

Data for a geometry-optimized Sr5Te4Cl structure.

Structure (extended XYZ):
```
10
Lattice="-4.0465 1.0460 2.1579 -2.1698 -6.1508 -1.0874 7.6441 -0.8423 9.6160" Properties=species:S:1:pos:R:3 pbc="T T T"
Sr 0.6884 -1.5064 7.1474
Sr -1.1193 -0.1535 3.1018
Sr -1.0849 -3.0754 -0.5437
Sr 0.7395 -4.4408 3.5392
Sr 2.5472 -5.7937 7.5847
Te -0.3564 -4.6119 6.6935
Te 3.6486 -2.7306 8.1653
Te 1.7843 -1.3354 3.9931
Te -2.2207 -3.2166 2.5212
Cl 0.0000 0.0000 0.0000
```

Computed properties:
Space-group type: No. 71
Formation energy (no corrections), eV/atom: -1.716
E, eV per atom: -3.998

=====

No. 2
## SrTeCl (PBE)

Data for a geometry-optimized SrTeCl structure.

Structure (extended XYZ):
```
3
Lattice="5.4663 0.0000 0.0000 2.7331 4.7339 0.0000 2.7331 1.5780 4.4632" Properties=species:S:1:pos:R:3 pbc="T T T"
Cl 0.0000 0.0000 0.0000
Sr 5.4663 3.1560 2.2316
Te 2.7331 1.5780 1.1158
```

Computed properties:
Space-group type: No. 216
Formation energy (no corrections), eV/atom: -0.974
E, eV per atom: -3.197